The following is a PBE calculation of crystalline Re3Au at its relaxed geometry, from Alexandria.

The calculation puts the total magnetization at 0.000 μB per atom. As for the formation energy from the elements: 0.649 eV per atom. For the total energy, the calculation gives -0.3493 hartree per atom.

The space group is Fm-3m (No. 225) and the conventional cell measures 6.310, 6.310 and 6.310 Å, with angles of 90.00, 90.00 and 90.00 degrees. The inequivalent atoms are Re at (0.000, 0.000, 0.000), Re at (0.250, 0.250, 0.250) and Au at (0.000, 0.000, 0.500).

***

The following is a PBE calculation of crystalline SmYTm4 at its relaxed geometry, from Alexandria.

The calculation puts the total magnetization at 0.000 μB per atom. The energy relative to the lowest polymorph listed for this composition is 122 meV/atom. As for the formation energy from the elements: 0.149 eV per atom. For the total energy, the calculation gives -0.1726 hartree per atom.

The space group is C2/c (No. 15) and the conventional cell measures 8.703, 14.497 and 6.447 Å, with angles of 90.00, 109.94 and 90.00 degrees. The inequivalent atoms are Sm at (0.000, 0.002, 0.250), Y at (0.000, 0.413, 0.750), Tm at (0.093, 0.195, 0.032) and Tm at (0.202, 0.368, 0.378).

***

The following is a PBE calculation of crystalline Dy2TmZn6 at its relaxed geometry, from Alexandria.

The calculation puts the total magnetization at 0.000 μB per atom. As for the formation energy from the elements: -0.381 eV per atom. For the total energy, the calculation gives -0.1011 hartree per atom.

The space group is P6/mmm (No. 191) and the conventional cell measures 7.7313, 7.7313 and 3.4782 Å, with angles of 90.00, 90.00 and 120.00 degrees. The inequivalent atoms are Dy at (0.3333, 0.6667, 0.0000), Tm at (0.0000, 0.0000, 0.0000) and Zn at (0.0000, 0.3323, 0.5000).

***

The following is a PBE calculation of crystalline HfHIN2 at its relaxed geometry, from Alexandria.

The calculation puts the total magnetization at 0.000 μB per atom. The energy relative to the lowest polymorph listed for this composition is 691 meV/atom. For the total energy, the calculation gives -0.1794 hartree per atom.

The space group is P4/mmm (No. 123) and the conventional cell measures 4.246, 4.246 and 3.310 Å, with angles of 90.00, 90.00 and 90.00 degrees. The inequivalent atoms are Hf at (0.000, 0.000, 0.000), H at (0.500, 0.500, 0.500), I at (0.500, 0.500, 0.000) and N at (0.000, 0.500, 0.500).

***

The following is a PBE calculation of crystalline PmNd2SmDy6 at its relaxed geometry, from Alexandria.

The calculation puts the total magnetization at 0.000 μB per atom. As for the formation energy from the elements: 0.120 eV per atom. For the total energy, the calculation gives -0.1669 hartree per atom.

The space group is C2/c (No. 15) and the conventional cell measures 9.066, 15.090 and 9.815 Å, with angles of 90.00, 99.39 and 90.00 degrees. The inequivalent atoms are Pm at (0.000, 0.095, 0.250), Nd at (0.241, 0.449, 0.042), Sm at (0.000, 0.483, 0.750), Dy at (0.069, 0.310, 0.443), Dy at (0.100, 0.105, 0.620) and Dy at (0.199, 0.275, 0.815).

***

The following is a PBE calculation of crystalline NaHoInAu at its relaxed geometry, from Alexandria.

The calculation puts the total magnetization at 0.000 μB per atom. As for the formation energy from the elements: -0.377 eV per atom. For the total energy, the calculation gives -0.1233 hartree per atom.

The space group is F-43m (No. 216) and the conventional cell measures 7.212, 7.212 and 7.212 Å, with angles of 90.00, 90.00 and 90.00 degrees. The inequivalent atoms are Na at (0.000, 0.000, 0.000), Ho at (0.000, 0.000, 0.500), In at (0.250, 0.250, 0.750) and Au at (0.250, 0.250, 0.250).

***

The following is a PBE calculation of crystalline In2POs at its relaxed geometry, from Alexandria.

The calculation puts the total magnetization at 0.000 μB per atom. As for the formation energy from the elements: 0.692 eV per atom. For the total energy, the calculation gives -0.1778 hartree per atom.

The space group is Pmmm (No. 47) and the conventional cell measures 3.496, 4.339 and 4.858 Å, with angles of 90.00, 90.00 and 90.00 degrees. The inequivalent atoms are In at (0.000, 0.000, 0.000), In at (0.500, 0.000, 0.500), P at (0.000, 0.500, 0.500) and Os at (0.500, 0.500, 0.000).

***

The following is a PBE calculation of crystalline TbPm3N3 at its relaxed geometry, from Alexandria.

The calculation puts the total magnetization at 0.000 μB per atom. The formation energy (no corrections) is -1076 meV per atom. For the total energy, the calculation gives -0.2698 hartree per atom.

The space group is C2/m (No. 12) and the conventional cell measures 13.656, 3.550 and 13.569 Å, with angles of 90.00, 115.57 and 90.00 degrees. The inequivalent atoms are Tb at (0.129, 0.000, 0.271), Pm at (0.114, 0.000, 0.720), Pm at (0.130, 0.500, 0.968), Pm at (0.139, 0.500, 0.489), N at (0.006, 0.500, 0.289), N at (0.190, 0.000, 0.904) and N at (0.248, 0.000, 0.628).

***

The following is a PBE calculation of crystalline Zr2NiMo at its relaxed geometry, from Alexandria.

The calculation puts the total magnetization at 0.000 μB per atom. As for the formation energy from the elements: -0.210 eV per atom. For the total energy, the calculation gives -0.3174 hartree per atom.

The space group is P4/mmm (No. 123) and the conventional cell measures 3.319, 3.319 and 6.470 Å, with angles of 90.00, 90.00 and 90.00 degrees. The inequivalent atoms are Zr at (0.000, 0.000, 0.249), Ni at (0.500, 0.500, 0.000) and Mo at (0.500, 0.500, 0.500).

***

The following is a PBE calculation of crystalline Li3GeIr at its relaxed geometry, from Alexandria.

The calculation puts the total magnetization at 0.000 μB per atom. The energy relative to the lowest polymorph listed for this composition is 745 meV/atom. As for the formation energy from the elements: 0.540 eV per atom. For the total energy, the calculation gives -0.1214 hartree per atom.

The space group is Pm-3m (No. 221) and the conventional cell measures 4.573, 4.573 and 4.573 Å, with angles of 90.00, 90.00 and 90.00 degrees. The inequivalent atoms are Li at (0.000, 0.000, 0.500), Ge at (0.500, 0.500, 0.500) and Ir at (0.000, 0.000, 0.000).

***

The following is a PBE calculation of crystalline Tm6Pt5 at its relaxed geometry, from Alexandria.

The calculation puts the total magnetization at 0.000 μB per atom. As for the formation energy from the elements: -1.192 eV per atom. For the total energy, the calculation gives -0.2344 hartree per atom.

The space group is Immm (No. 71) and the conventional cell measures 4.837, 6.881 and 14.586 Å, with angles of 90.00, 90.00 and 90.00 degrees. The inequivalent atoms are Tm at (0.000, 0.248, 0.000), Tm at (0.000, 0.251, 0.334), Pt at (0.000, 0.000, 0.173), Pt at (0.000, 0.500, 0.162) and Pt at (0.000, 0.500, 0.500).

***

The following is a PBE calculation of crystalline La3ScTl6 at its relaxed geometry, from Alexandria.

The calculation puts the total magnetization at 0.000 μB per atom. As for the formation energy from the elements: -0.313 eV per atom. For the total energy, the calculation gives -0.1413 hartree per atom.

The space group is R-3c (No. 167, hexagonal axes) and the conventional cell measures 12.7663, 12.7663 and 12.9475 Å, with angles of 90.00, 90.00 and 120.00 degrees. The inequivalent atoms are La at (0.0000, 0.4289, 0.2500), Sc at (0.0000, 0.0000, 0.0000) and Tl at (0.0602, 0.2041, 0.3529).